Computed, not measured: a relaxed structure of BaSn3Ge at the GGA-PBE level of DFT.

Cell: 11.081 4.900 11.340 Å, 90.00 90.00 90.00°
Space group Pnma (No. 62)
Unique sites:
Ba: 0.193 0.250 0.023
Sn: 0.062 0.250 0.429
Sn: 0.089 0.750 0.258
Sn: 0.113 0.750 0.802
Ge: 0.167 0.250 0.681

Properties
total moment: 0.000 μB per cell
energy above the most stable polymorph in this dataset: 45.2 meV per atom
calculated formation energy: -0.263 eV/atom